Material: Pr2Sm6Tl
Method: DFT, PBE
State: optimized geometry

a b c (Å): 10.1193 10.5652 5.6216
angles (deg): 90.00 90.00 90.00
Last column: nearest neighbours and their distance in Å.
Fractional positions:
1 Pr 0.1956 0.2438 0.0000  10 Sm 3.35-3.74
2 Pr 0.3044 0.7438 0.5000  10 Sm 3.35-3.74
3 Pr 0.6956 0.2562 0.5000  10 Sm 3.35-3.74
4 Pr 0.8044 0.7562 0.0000  10 Sm 3.35-3.74
5 Sm 0.0208 0.3162 0.5000  1 Tl 3.35, 3 Pr 3.35-3.41, 3 Sm 3.54-3.68
6 Sm 0.1387 0.8939 0.0000  2 Tl 3.34, 3 Sm 3.45-3.59, 3 Pr 3.64-3.68
7 Sm 0.1808 0.5699 0.0000  1 Tl 3.31, 3 Pr 3.45-3.58, 3 Sm 3.45-3.68
8 Sm 0.3192 0.0699 0.5000  1 Tl 3.31, 3 Pr 3.45-3.58, 3 Sm 3.45-3.68
9 Sm 0.3613 0.3939 0.5000  2 Tl 3.34, 3 Sm 3.45-3.59, 3 Pr 3.64-3.68
10 Sm 0.4792 0.8162 0.0000  1 Tl 3.35, 3 Pr 3.35-3.41, 3 Sm 3.54-3.68
11 Sm 0.5208 0.1838 0.0000  1 Tl 3.35, 3 Pr 3.35-3.41, 3 Sm 3.54-3.68
12 Sm 0.6387 0.6061 0.5000  2 Tl 3.34, 3 Sm 3.45-3.59, 3 Pr 3.64-3.68
13 Sm 0.6808 0.9301 0.5000  1 Tl 3.31, 3 Pr 3.45-3.58, 3 Sm 3.45-3.68
14 Sm 0.8192 0.4301 0.0000  1 Tl 3.31, 3 Pr 3.45-3.58, 3 Sm 3.45-3.68
15 Sm 0.8613 0.1061 0.0000  2 Tl 3.34, 3 Sm 3.45-3.59, 3 Pr 3.64-3.68
16 Sm 0.9792 0.6838 0.5000  1 Tl 3.35, 3 Pr 3.35-3.41, 3 Sm 3.54-3.68
17 Tl 0.0000 0.0000 0.5000  8 Sm 3.31-3.35
18 Tl 0.5000 0.5000 0.0000  8 Sm 3.31-3.35

## Properties
ΔE_f (eV per atom): -0.009
E_tot (eV for the cell shown): -80.6